The following is a PBE-GGA calculation of a geometry-optimized Li4YCu2 structure, from Alexandria via LeMat-Bulk.

abc: 3.8662 3.8534 8.7455
angles: 102.73 90.00 90.00
Fractional positions:
Li: 0.5000 0.8214 0.6429
Li: 0.0000 0.6768 0.3536
Li: 0.5000 0.1786 0.3571
Li: 0.0000 0.3232 0.6464
Y: 0.0000 0.0000 0.0000
Cu: 0.5000 0.5725 0.1451
Cu: 0.5000 0.4275 0.8549

Calculated formation energy ... -0.47 eV per formula unit
E_tot ... -22.78 eV/f.u.

***

The following is a PBE-GGA calculation of a geometry-optimized SmDy2CuS5 structure, from Alexandria via LeMat-Bulk.

abc: 3.8207 9.0961 11.1702
angles: 90.00 90.00 102.12
Fractional positions:
Sm: 0.8045 0.6090 0.5096
Sm: 0.1955 0.3910 0.0096
Dy: 0.8879 0.7759 0.8085
Dy: 0.0946 0.1891 0.6829
Dy: 0.1121 0.2241 0.3085
Dy: 0.9054 0.8109 0.1829
Cu: 0.5618 0.1236 0.9527
Cu: 0.4382 0.8764 0.4527
S: 0.3588 0.7176 0.0039
S: 0.6720 0.3440 0.8338
S: 0.4963 0.9926 0.7792
S: 0.2992 0.5984 0.6904
S: 0.9552 0.9103 0.5629
S: 0.6412 0.2824 0.5039
S: 0.3280 0.6560 0.3338
S: 0.5037 0.0074 0.2792
S: 0.7008 0.4016 0.1904
S: 0.0448 0.0897 0.0629

E_tot ... -53.85 eV/f.u.
ΔE_f (raw) ... -1.688 eV/atom

***

The following is a PBE-GGA calculation of a geometry-optimized Cs2LaInI6 structure, from Alexandria via LeMat-Bulk.

abc: 8.8214 9.3579 12.7768
angles: 90.00 89.37 90.00
Fractional positions:
Cs: 0.0271 0.9239 0.2505
Cs: 0.5271 0.5761 0.7505
Cs: 0.9729 0.0761 0.7495
Cs: 0.4729 0.4239 0.2495
La: 0.5000 0.0000 0.5000
La: 0.0000 0.5000 0.0000
In: 0.5000 0.0000 0.0000
In: 0.0000 0.5000 0.5000
I: 0.2937 0.6866 0.0464
I: 0.7937 0.8134 0.5464
I: 0.7063 0.3134 0.9536
I: 0.2063 0.1866 0.4536
I: 0.3178 0.7134 0.4518
I: 0.8178 0.7866 0.9518
I: 0.6822 0.2866 0.5482
I: 0.1822 0.2134 0.0482
I: 0.9040 0.5220 0.2396
I: 0.4040 0.9780 0.7396
I: 0.0960 0.4780 0.7604
I: 0.5960 0.0220 0.2604

E_tot ... -32.16 eV/f.u.
ΔE_f (raw) ... -1.349 eV/atom
Polymorph energy (0 for the lowest one) ... 0 meV/atom

***

The following is a PBE-GGA calculation of a geometry-optimized Sr3Li9Ag2 structure, from Alexandria via LeMat-Bulk.

abc: 4.7386 9.1938 9.1938
angles: 72.97 75.07 75.07
Fractional positions:
Sr: 0.0000 0.0000 0.0000
Sr: 0.6785 0.3215 0.3215
Sr: 0.3215 0.6785 0.6785
Li: 0.0000 0.5000 0.5000
Li: 0.6785 0.9802 0.6627
Li: 0.3215 0.0198 0.3373
Li: 0.6785 0.6627 0.9802
Li: 0.3215 0.3373 0.0198
Li: 0.8910 0.8313 0.3866
Li: 0.1090 0.1687 0.6134
Li: 0.8910 0.3866 0.8313
Li: 0.1090 0.6134 0.1687
Ag: 0.5000 0.2807 0.7193
Ag: 0.5000 0.7193 0.2807

Calculated formation energy ... -0.86 eV per formula unit
E_tot ... -28.83 eV/f.u.

***

The following is a PBE-GGA calculation of a geometry-optimized Ho2Al structure, from Alexandria via LeMat-Bulk.

abc: 5.0784 6.5250 9.4113
angles: 90.00 90.00 90.00
Fractional positions:
Al: 0.2500 0.2920 0.8971
Al: 0.7500 0.2080 0.3971
Al: 0.7500 0.7080 0.1029
Al: 0.2500 0.7920 0.6029
Ho: 0.2500 0.8129 0.9272
Ho: 0.7500 0.6871 0.4272
Ho: 0.7500 0.1871 0.0728
Ho: 0.2500 0.3129 0.5728
Ho: 0.2500 0.9730 0.2906
Ho: 0.7500 0.5270 0.7906
Ho: 0.7500 0.0270 0.7094
Ho: 0.2500 0.4730 0.2094

Calculated formation energy ... -0.89 eV per formula unit
E_tot ... -13.78 eV/f.u.

***

The following is a PBE-GGA calculation of a geometry-optimized Cs3LiCu2Br8 structure, from Alexandria via LeMat-Bulk.

abc: 7.5807 7.5807 10.1243
angles: 90.00 90.00 120.00
Fractional positions:
Cs: 0.3333 0.6667 0.6388
Cs: 0.6667 0.3333 0.3612
Cs: 0.0000 0.0000 0.0000
Li: 0.0000 0.0000 0.5000
Cu: 0.3333 0.6667 0.2290
Cu: 0.6667 0.3333 0.7710
Br: 0.3333 0.6667 0.9969
Br: 0.6667 0.3333 0.0031
Br: 0.1634 0.8366 0.3255
Br: 0.8366 0.1634 0.6745
Br: 0.1634 0.3268 0.3255
Br: 0.8366 0.6732 0.6745
Br: 0.6732 0.8366 0.3255
Br: 0.3268 0.1634 0.6745

E_tot ... -41.38 eV/f.u.
ΔE_f (raw) ... -1.095 eV/atom

***

Computed N(E_F), in the same sequence as the records: 0.4667 0.0112 0.0000 0.5911 0.7607 0.8960 states/eV per atom.